This record from the Alexandria database describes crystalline Pm2Nd2I7 at its relaxed geometry. The functional is PBE.

```
Pm2Nd2I7
1.0
4.661 -6.718 0.000
4.661 6.718 0.000
-0.355 0.000 8.317
Pm Nd I
2 2 7
Cartesian
4.661 4.893 0.000
4.661 -4.893 0.000
1.629 0.000 2.995
7.338 0.000 5.322
2.529 2.687 1.772
1.086 0.000 6.179
2.529 -2.687 1.772
4.483 0.000 4.159
6.437 2.687 6.545
7.881 0.000 2.138
6.437 -2.687 6.545
```

* magnetic moment: 1.56 μB per formula unit
* total energy: -3.73 eV per atom

=====

This record from the Alexandria database describes crystalline NaAl6Au12 at its relaxed geometry. The functional is PBE.

```
NaAl6Au12
1.0
6.037 3.486 2.860
-6.037 3.486 2.860
0.000 -6.971 2.860
Na Al Au
1 6 12
Cartesian
0.000 0.000 0.000
0.000 -2.867 3.610
-2.483 1.433 3.610
-2.483 -1.433 4.970
2.483 1.433 3.610
2.483 -1.433 4.970
0.000 2.867 4.970
-2.300 -3.984 4.290
-4.601 0.000 4.290
-1.476 -0.852 2.565
1.476 -0.852 2.565
0.000 1.705 2.565
2.300 -3.984 4.290
-2.300 3.984 4.290
0.000 -1.705 6.015
-1.476 0.852 6.015
1.476 0.852 6.015
4.601 0.000 4.290
2.300 3.984 4.290
```

* magnetic moment: 0.00 μB per formula unit
* total energy: -3.61 eV per atom

=====

This record from the Alexandria database describes crystalline Pm5DyY at its relaxed geometry. The functional is PBE.

```
Pm5DyY
1.0
-2.952 4.391 6.061
2.952 -4.391 6.061
2.952 4.391 -6.061
Pm Dy Y
5 1 1
Cartesian
0.000 0.000 0.000
2.952 0.000 2.996
2.952 2.836 0.000
0.000 1.555 6.061
0.000 4.391 3.064
2.952 0.000 0.000
0.000 4.391 0.000
```

* magnetic moment: 0.00 μB per formula unit
* relative energy among the computed polymorphs: 824 meV/atom

=====

This record from the Alexandria database describes crystalline Dy2Cd2Sn at its relaxed geometry. The functional is PBE.

```
Dy2Cd2Sn
1.0
5.243 -2.193 0.000
5.243 2.193 0.000
-0.373 0.000 6.109
Dy Cd Sn
2 2 1
Cartesian
1.997 0.000 1.267
8.117 0.000 4.842
0.730 0.000 4.174
9.384 0.000 1.935
5.243 0.000 0.000
```

* magnetic moment: 0.00 μB per formula unit
* total energy: -3.28 eV per atom

=====

This record from the Alexandria database describes crystalline ScHPd2Pt at its relaxed geometry. The functional is PBE.

```
ScHPd2Pt
1.0
3.952 0.000 0.000
0.000 3.952 0.000
0.000 0.000 4.279
Sc H Pd Pt
1 1 2 1
Cartesian
0.000 0.000 0.000
0.000 0.000 2.140
0.000 1.976 2.140
1.976 0.000 2.140
1.976 1.976 0.000
```

* magnetic moment: 0.00 μB per formula unit
* relative energy among the computed polymorphs: 14 meV/atom

=====

This record from the Alexandria database describes crystalline DyY3Hg6 at its relaxed geometry. The functional is PBE.

```
DyY3Hg6
1.0
9.171 0.000 0.000
0.000 5.156 0.000
-3.192 0.000 10.656
Dy Y Hg
2 6 12
Cartesian
-0.677 1.289 4.160
6.656 3.867 6.496
2.077 1.289 0.083
0.688 3.867 8.501
2.478 1.289 6.532
3.501 3.867 4.124
5.291 1.289 2.155
3.902 3.867 10.573
-2.283 3.867 9.550
0.654 3.867 2.115
-0.723 1.289 7.323
0.596 3.867 5.430
2.239 1.289 3.183
3.972 3.867 0.963
2.007 1.289 9.693
3.740 3.867 7.473
5.383 1.289 5.226
6.702 3.867 3.333
5.325 1.289 8.541
8.262 1.289 1.106
```

* magnetic moment: 0.00 μB per formula unit
* total energy: -3.02 eV per atom

=====

This record from the Alexandria database describes crystalline HfTl3Pb2S6 at its relaxed geometry. The functional is PBE.

```
HfTl3Pb2S6
1.0
3.602 -6.197 0.000
3.602 6.197 0.000
-2.392 0.000 7.139
Hf Tl Pb S
1 3 2 6
Cartesian
0.000 0.000 0.000
2.405 4.095 3.569
2.405 0.000 3.569
2.405 -4.095 3.569
3.602 2.056 0.000
3.602 -2.056 0.000
1.065 1.823 1.456
-0.288 0.000 5.613
1.065 -1.823 1.456
3.746 1.823 5.683
5.099 0.000 1.526
3.746 -1.823 5.683
```

* magnetic moment: 0.00 μB per formula unit
* total energy: -4.80 eV per atom

=====

This record from the Alexandria database describes crystalline CeCuSnRh at its relaxed geometry. The functional is PBE.

```
CeCuSnRh
1.0
0.000 3.382 3.382
3.382 0.000 3.382
3.382 3.382 0.000
Ce Cu Sn Rh
1 1 1 1
Cartesian
0.000 0.000 0.000
1.691 1.691 1.691
3.382 3.382 3.382
5.074 5.074 5.074
```

* magnetic moment: 0.22 μB per formula unit
* total energy: -5.82 eV per atom